# 1
Here is BeNbTlFe after structural relaxation from OQMD via LeMat-Bulk. Energies are from GGA-PBE.

Geometry as CIF:
```
data_BeNbTlFe
_chemical_formula_sum 'Be4 Nb4 Tl4 Fe4'
_symmetry_space_group_name_H-M 'F -4 3 m'
_symmetry_Int_Tables_number 216
_symmetry_space_group_name_Hall 'F -4 2 3'
_cell_length_a 6.312
_cell_length_b 6.312
_cell_length_c 6.312
_cell_angle_alpha 90.00
_cell_angle_beta 90.00
_cell_angle_gamma 90.00
loop_
_atom_site_label
_atom_site_fract_x
_atom_site_fract_y
_atom_site_fract_z
Be1 0.000 0.000 0.000
Nb1 0.000 0.000 0.500
Tl1 0.250 0.250 0.750
Fe1 0.250 0.250 0.250
```

E_tot	-88.7	eV for the cell shown


# 2
Here is Dy5Lu2Te2Pt2 after structural relaxation from OQMD via LeMat-Bulk. Energies are from GGA-PBE.

Geometry as CIF:
```
data_Dy5Lu2Te2Pt2
_chemical_formula_sum 'Dy10 Lu4 Te4 Pt4'
_symmetry_space_group_name_H-M 'I m m 2'
_symmetry_Int_Tables_number 44
_symmetry_space_group_name_Hall 'I 2 -2'
_cell_length_a 3.947
_cell_length_b 15.599
_cell_length_c 9.559
_cell_angle_alpha 90.00
_cell_angle_beta 90.00
_cell_angle_gamma 90.00
loop_
_atom_site_label
_atom_site_fract_x
_atom_site_fract_y
_atom_site_fract_z
Dy1 0.000 0.000 0.000
Dy2 0.000 0.131 0.583
Dy3 0.000 0.355 0.734
Lu1 0.000 0.317 0.375
Te1 0.000 0.000 0.336
Te2 0.000 0.500 0.238
Pt1 0.000 0.236 0.068
```

E_tot	-123.7	eV for the cell shown


# 3
Here is Zr3B2As after structural relaxation from OQMD via LeMat-Bulk. Energies are from GGA-PBE.

Geometry as CIF:
```
data_Zr3B2As
_chemical_formula_sum 'Zr6 B4 As2'
_symmetry_space_group_name_H-M 'P 63/m m c'
_symmetry_Int_Tables_number 194
_symmetry_space_group_name_Hall '-P 6c 2c'
_cell_length_a 3.5118
_cell_length_b 3.5118
_cell_length_c 18.6689
_cell_angle_alpha 90.00
_cell_angle_beta 90.00
_cell_angle_gamma 120.00
loop_
_atom_site_label
_atom_site_fract_x
_atom_site_fract_y
_atom_site_fract_z
Zr1 0.0000 0.0000 0.0000
Zr2 0.3333 0.6667 0.1486
B1 0.3333 0.6667 0.5779
As1 0.0000 0.0000 0.2500
```

E_tot	-95.7	eV for the cell shown


# 4
Here is LuSc2In3Au2 after structural relaxation from OQMD via LeMat-Bulk. Energies are from GGA-PBE.

Geometry as CIF:
```
data_LuSc2In3Au2
_chemical_formula_sum 'Lu2 Sc4 In6 Au4'
_symmetry_space_group_name_H-M 'A m m 2'
_symmetry_Int_Tables_number 38
_symmetry_space_group_name_Hall 'A 2 -2'
_cell_length_a 3.450
_cell_length_b 13.236
_cell_length_c 7.667
_cell_angle_alpha 90.00
_cell_angle_beta 90.00
_cell_angle_gamma 90.00
loop_
_atom_site_label
_atom_site_fract_x
_atom_site_fract_y
_atom_site_fract_z
Lu1 0.000 0.000 0.000
Sc1 0.000 0.205 0.384
In1 0.500 0.000 0.359
In2 0.500 0.118 0.703
Au1 0.500 0.169 0.090
```

E_tot	-73.8	eV for the cell shown


# 5
Here is SrCuIr2 after structural relaxation from OQMD via LeMat-Bulk. Energies are from GGA-PBE.

Geometry as CIF:
```
data_SrCuIr2
_chemical_formula_sum 'Sr4 Cu4 Ir8'
_symmetry_space_group_name_H-M 'F -4 3 m'
_symmetry_Int_Tables_number 216
_symmetry_space_group_name_Hall 'F -4 2 3'
_cell_length_a 6.586
_cell_length_b 6.586
_cell_length_c 6.586
_cell_angle_alpha 90.00
_cell_angle_beta 90.00
_cell_angle_gamma 90.00
loop_
_atom_site_label
_atom_site_fract_x
_atom_site_fract_y
_atom_site_fract_z
Sr1 0.000 0.000 0.000
Cu1 0.250 0.250 0.250
Ir1 0.000 0.000 0.500
Ir2 0.250 0.250 0.750
```

E_tot	-84.6	eV for the cell shown


# 6
Here is RbBaPr after structural relaxation from OQMD via LeMat-Bulk. Energies are from GGA-PBE.

Geometry as CIF:
```
data_RbBaPr
_chemical_formula_sum 'Rb4 Ba4 Pr4'
_symmetry_space_group_name_H-M 'F -4 3 m'
_symmetry_Int_Tables_number 216
_symmetry_space_group_name_Hall 'F -4 2 3'
_cell_length_a 9.410
_cell_length_b 9.410
_cell_length_c 9.410
_cell_angle_alpha 90.00
_cell_angle_beta 90.00
_cell_angle_gamma 90.00
loop_
_atom_site_label
_atom_site_fract_x
_atom_site_fract_y
_atom_site_fract_z
Rb1 0.000 0.000 0.000
Ba1 0.000 0.000 0.500
Pr1 0.250 0.250 0.750
```

E_tot	-19.9	eV for the cell shown


# 7
Here is Cu2Ag3 after structural relaxation from OQMD via LeMat-Bulk. Energies are from GGA-PBE.

Geometry as CIF:
```
data_Cu2Ag3
_chemical_formula_sum 'Cu4 Ag6'
_symmetry_space_group_name_H-M 'P 1 2/m 1'
_symmetry_Int_Tables_number 10
_symmetry_space_group_name_Hall '-P 2y'
_cell_length_a 6.872
_cell_length_b 2.845
_cell_length_c 8.199
_cell_angle_alpha 90.00
_cell_angle_beta 102.84
_cell_angle_gamma 90.00
loop_
_atom_site_label
_atom_site_fract_x
_atom_site_fract_y
_atom_site_fract_z
Cu1 0.087 0.000 0.318
Cu2 0.182 0.500 0.583
Ag1 0.000 0.500 0.000
Ag2 0.295 0.000 0.875
Ag3 0.379 0.500 0.201
Ag4 0.500 0.000 0.500
```

E_tot	-31.0	eV for the cell shown


# 8
Here is BeGaNiPd after structural relaxation from OQMD via LeMat-Bulk. Energies are from GGA-PBE.

Geometry as CIF:
```
data_BeGaNiPd
_chemical_formula_sum 'Be4 Ga4 Ni4 Pd4'
_symmetry_space_group_name_H-M 'F -4 3 m'
_symmetry_Int_Tables_number 216
_symmetry_space_group_name_Hall 'F -4 2 3'
_cell_length_a 5.791
_cell_length_b 5.791
_cell_length_c 5.791
_cell_angle_alpha 90.00
_cell_angle_beta 90.00
_cell_angle_gamma 90.00
loop_
_atom_site_label
_atom_site_fract_x
_atom_site_fract_y
_atom_site_fract_z
Be1 0.000 0.000 0.000
Ga1 0.000 0.000 0.500
Ni1 0.250 0.250 0.750
Pd1 0.250 0.250 0.250
```

E_tot	-76.8	eV for the cell shown


# 9
Here is PrNdAu2 after structural relaxation from OQMD via LeMat-Bulk. Energies are from GGA-PBE.

Geometry as CIF:
```
data_PrNdAu2
_chemical_formula_sum 'Pr2 Nd2 Au4'
_symmetry_space_group_name_H-M 'P m n 21'
_symmetry_Int_Tables_number 31
_symmetry_space_group_name_Hall 'P 2ac -2'
_cell_length_a 4.828
_cell_length_b 7.491
_cell_length_c 5.878
_cell_angle_alpha 90.00
_cell_angle_beta 90.00
_cell_angle_gamma 90.00
loop_
_atom_site_label
_atom_site_fract_x
_atom_site_fract_y
_atom_site_fract_z
Pr1 0.000 0.066 0.000
Nd1 0.000 0.565 0.785
Au1 0.000 0.213 0.493
Au2 0.000 0.706 0.291
```

E_tot	-38.6	eV for the cell shown


# 10
Here is Be3Co after structural relaxation from OQMD via LeMat-Bulk. Energies are from GGA-PBE.

Geometry as CIF:
```
data_Be3Co
_chemical_formula_sum 'Be6 Co2'
_symmetry_space_group_name_H-M 'P 63/m m c'
_symmetry_Int_Tables_number 194
_symmetry_space_group_name_Hall '-P 6c 2c'
_cell_length_a 4.5793
_cell_length_b 4.5793
_cell_length_c 3.6391
_cell_angle_alpha 90.00
_cell_angle_beta 90.00
_cell_angle_gamma 120.00
loop_
_atom_site_label
_atom_site_fract_x
_atom_site_fract_y
_atom_site_fract_z
Be1 0.1663 0.3326 0.2500
Co1 0.3333 0.6667 0.7500
```

E_tot	-38.8	eV for the cell shown


# 11
Here is BaZrBePt after structural relaxation from OQMD via LeMat-Bulk. Energies are from GGA-PBE.

Geometry as CIF:
```
data_BaZrBePt
_chemical_formula_sum 'Ba4 Zr4 Be4 Pt4'
_symmetry_space_group_name_H-M 'F -4 3 m'
_symmetry_Int_Tables_number 216
_symmetry_space_group_name_Hall 'F -4 2 3'
_cell_length_a 6.851
_cell_length_b 6.851
_cell_length_c 6.851
_cell_angle_alpha 90.00
_cell_angle_beta 90.00
_cell_angle_gamma 90.00
loop_
_atom_site_label
_atom_site_fract_x
_atom_site_fract_y
_atom_site_fract_z
Ba1 0.000 0.000 0.000
Zr1 0.250 0.250 0.750
Be1 0.250 0.250 0.250
Pt1 0.000 0.000 0.500
```

E_tot	-77.9	eV for the cell shown


# 12
Here is Sn2IrPt after structural relaxation from OQMD via LeMat-Bulk. Energies are from GGA-PBE.

Geometry as CIF:
```
data_Sn2IrPt
_chemical_formula_sum 'Sn8 Ir4 Pt4'
_symmetry_space_group_name_H-M 'F -4 3 m'
_symmetry_Int_Tables_number 216
_symmetry_space_group_name_Hall 'F -4 2 3'
_cell_length_a 6.716
_cell_length_b 6.716
_cell_length_c 6.716
_cell_angle_alpha 90.00
_cell_angle_beta 90.00
_cell_angle_gamma 90.00
loop_
_atom_site_label
_atom_site_fract_x
_atom_site_fract_y
_atom_site_fract_z
Sn1 0.000 0.000 0.000
Sn2 0.250 0.250 0.250
Ir1 0.250 0.250 0.750
Pt1 0.000 0.000 0.500
```

E_tot	-88.2	eV for the cell shown